Entry 1:
EuGa2Tc | Alexandria via LeMat-Bulk | GGA-PBE | relaxed; energy above the most stable polymorph in this dataset = 0 meV per atom; space-group type = P4/mmm, No. 123; formation enthalpy at 0 K = -0.224 eV per atom; uncorrected energy = -6.898 eV per atom
1.0
3.3404 0.0000 0.0000
0.0000 3.3404 0.0000
0.0000 0.0000 6.8297
Eu Ga Tc
1 2 1
direct
0.0000 0.0000 0.0000 Eu
0.5000 0.5000 0.3118 Ga
0.5000 0.5000 0.6882 Ga
0.0000 0.0000 0.5000 Tc

---

Entry 2:
Ac2ErNiSe5 | Alexandria via LeMat-Bulk | GGA-PBE | relaxed; space-group type = Cmc2_1, No. 36; formation energy (no corrections) = -159.5 kJ/mol of atoms; uncorrected energy = -5.651 eV per atom
1.0
2.0691 -8.8889 0.0000
2.0691 8.8889 0.0000
0.0000 0.0000 12.7369
Ac Er Ni Se
4 2 2 10
direct
0.1160 0.8840 0.5000 Ac
0.1228 0.8772 0.8546 Ac
0.8772 0.1228 0.3546 Ac
0.8840 0.1160 0.0000 Ac
0.1769 0.8231 0.1785 Er
0.8231 0.1769 0.6785 Er
0.4416 0.5584 0.5825 Ni
0.5584 0.4416 0.0825 Ni
0.0209 0.9791 0.1681 Se
0.3061 0.6939 0.8356 Se
0.3090 0.6910 0.5234 Se
0.3392 0.6608 0.1755 Se
0.4997 0.5003 0.4126 Se
0.5003 0.4997 0.9126 Se
0.6608 0.3392 0.6755 Se
0.6910 0.3090 0.0234 Se
0.6939 0.3061 0.3356 Se
0.9791 0.0209 0.6681 Se

---

Entry 3:
SrCd2MoPd | Alexandria via LeMat-Bulk | GGA-PBE | relaxed; space-group type = P4/mmm, No. 123; formation enthalpy at 0 K = 0.414 eV per atom; uncorrected energy = -3.493 eV per atom
1.0
5.3373 0.0000 0.0000
0.0000 5.3373 0.0000
0.0000 0.0000 4.8507
Sr Cd Mo Pd
1 2 1 1
direct
0.0000 0.0000 0.0000 Sr
0.0000 0.5000 0.5000 Cd
0.5000 0.0000 0.5000 Cd
0.5000 0.5000 0.5000 Mo
0.5000 0.5000 0.0000 Pd

---

Entry 4:
CaTeC3 | Alexandria via LeMat-Bulk | GGA-PBE | relaxed; energy above the most stable polymorph in this dataset = 1045 meV per atom; space-group type = Pm-3m, No. 221; formation energy (no corrections) = 306.7 kJ/mol of atoms; uncorrected energy = -3.385 eV per atom
1.0
4.4772 0.0000 0.0000
0.0000 4.4772 0.0000
0.0000 0.0000 4.4772
Ca Te C
1 1 3
direct
0.0000 0.0000 0.0000 Ca
0.5000 0.5000 0.5000 Te
0.0000 0.0000 0.5000 C
0.0000 0.5000 0.0000 C
0.5000 0.0000 0.0000 C

---

Entry 5:
NdErCo10 | Alexandria via LeMat-Bulk | GGA-PBE | relaxed; space-group type = Pmmm, No. 47; formation enthalpy at 0 K = -0.079 eV per atom; uncorrected energy = -6.778 eV per atom
1.0
3.9474 0.0000 0.0000
0.0000 4.9415 0.0000
0.0000 0.0000 8.6031
Nd Er Co
1 1 10
direct
0.0000 0.0000 0.0000 Nd
0.0000 0.5000 0.5000 Er
0.0000 0.0000 0.3388 Co
0.0000 0.0000 0.6612 Co
0.0000 0.5000 0.1761 Co
0.0000 0.5000 0.8239 Co
0.5000 0.0000 0.5000 Co
0.5000 0.2534 0.2551 Co
0.5000 0.2534 0.7449 Co
0.5000 0.5000 0.0000 Co
0.5000 0.7466 0.2551 Co
0.5000 0.7466 0.7449 Co

---

Entry 6:
BaSr2MgTl | Alexandria via LeMat-Bulk | GGA-PBE | relaxed; space-group type = P4/mmm, No. 123; formation enthalpy at 0 K = -0.002 eV per atom; uncorrected energy = -1.852 eV per atom
1.0
6.4874 0.0000 0.0000
0.0000 6.4874 0.0000
0.0000 0.0000 5.6286
Ba Sr Mg Tl
1 2 1 1
direct
0.0000 0.0000 0.0000 Ba
0.0000 0.5000 0.5000 Sr
0.5000 0.0000 0.5000 Sr
0.5000 0.5000 0.0000 Mg
0.5000 0.5000 0.5000 Tl